## Pm6InNi2I3 (PBE)

Data for a relaxed Pm6InNi2I3 crystal.

Output
For the magnetization, the calculation gives 0.00 μB/f.u. As for the formation energy without anion corrections: -630 meV per atom. The density of states at the Fermi level is 9.315 states/eV/f.u. The calculated volume comes out at 371 Å³ per cell.

Unit cell a=10.2202 b=10.2202 c=9.5524 alpha=108.44 beta=108.44 gamma=23.16
Sites, in units of the cell vectors:
Pm  0.0239  0.0239  0.2564
Pm  0.3187  0.3187  0.4474
Pm  0.3348  0.3348  0.8546
Pm  0.6652  0.6652  0.1454
Pm  0.6813  0.6813  0.5526
Pm  0.9761  0.9761  0.7436
In  0.5000  0.5000  0.0000
Ni  0.1709  0.1709  0.3478
Ni  0.8291  0.8291  0.6522
I  0.1613  0.1613  0.8385
I  0.5000  0.5000  0.5000
I  0.8387  0.8387  0.1615